# 1
Compound: Rb6NpI12
Source: Alexandria via LeMat-Bulk
Functional: GGA-PBE
Structure: relaxed

Computed properties:
- ΔE_f (raw): -20.59 eV/f.u.
- Magnetization: 5.11 μB/f.u.

Cell: 10.287 10.287 10.287 Å, 97.40 97.40 97.40°
Positions (direct):
Rb 0.155 0.283 0.631
Rb 0.717 0.369 0.845
Rb 0.369 0.845 0.717
Rb 0.845 0.717 0.369
Rb 0.283 0.631 0.155
Rb 0.631 0.155 0.283
Np 0.000 0.000 0.000
I 0.467 0.156 0.581
I 0.156 0.581 0.467
I 0.581 0.467 0.156
I 0.533 0.844 0.419
I 0.844 0.419 0.533
I 0.419 0.533 0.844
I 0.013 0.942 0.707
I 0.293 0.987 0.058
I 0.058 0.293 0.987
I 0.987 0.058 0.293
I 0.707 0.013 0.942
I 0.942 0.707 0.013

# 2
Compound: RbNp2I8
Source: Alexandria via LeMat-Bulk
Functional: GGA-PBE
Structure: relaxed

Computed properties:
- ΔE_f (raw): -9.02 eV/f.u.
- Magnetization: 7.00 μB/f.u.
- Relative energy among the computed polymorphs: 0.00 eV per formula unit

Cell: 6.160 10.954 10.954 Å, 120.00 90.00 90.00°
Positions (direct):
Rb 0.000 0.000 0.000
Np 0.253 0.333 0.667
Np 0.747 0.667 0.333
I 0.238 0.667 0.333
I 0.762 0.333 0.667
I 0.735 0.820 0.178
I 0.265 0.178 0.358
I 0.265 0.642 0.820
I 0.265 0.180 0.822
I 0.735 0.822 0.642
I 0.735 0.358 0.180

# 3
Compound: RbNp2I8
Source: Alexandria via LeMat-Bulk
Functional: GGA-PBE
Structure: relaxed

Computed properties:
- ΔE_f (raw): -8.70 eV/f.u.
- Magnetization: 7.00 μB/f.u.
- Relative energy among the computed polymorphs: 0.32 eV per formula unit

Cell: 9.428 9.385 9.385 Å, 56.59 77.09 77.09°
Positions (direct):
Rb 0.000 0.000 0.000
Np 0.666 0.808 0.808
Np 0.334 0.192 0.192
I 0.242 0.349 0.855
I 0.758 0.145 0.651
I 0.350 0.820 0.820
I 0.650 0.180 0.180
I 0.242 0.855 0.349
I 0.758 0.651 0.145
I 0.825 0.633 0.633
I 0.175 0.367 0.367

# 4
Compound: Rb3NpI6
Source: Alexandria via LeMat-Bulk
Functional: GGA-PBE
Structure: relaxed

Computed properties:
- ΔE_f (raw): -11.85 eV/f.u.
- Magnetization: 4.00 μB/f.u.
- Relative energy among the computed polymorphs: 0.73 eV per formula unit

Cell: 8.455 8.455 9.824 Å, 109.99 109.99 101.86°
Positions (direct):
Rb 0.750 0.250 0.500
Rb 0.500 0.500 0.000
Rb 0.250 0.750 0.500
Np 0.000 0.000 0.000
I 0.657 0.657 0.734
I 0.923 0.923 0.266
I 0.077 0.077 0.734
I 0.343 0.343 0.266
I 0.765 0.235 0.000
I 0.235 0.765 0.000

# 5
Compound: RbNpI4
Source: Alexandria via LeMat-Bulk
Functional: GGA-PBE
Structure: relaxed

Computed properties:
- ΔE_f (raw): -6.36 eV/f.u.
- Magnetization: 4.00 μB/f.u.

Cell: 4.743 9.238 9.072 Å, 58.99 74.81 89.04°
Positions (direct):
Rb 0.500 0.500 0.000
Np 0.000 0.000 0.000
I 0.878 0.610 0.236
I 0.619 0.990 0.764
I 0.381 0.010 0.236
I 0.122 0.390 0.764

# 6
Compound: RbNpI3
Source: Alexandria via LeMat-Bulk
Functional: GGA-PBE
Structure: relaxed

Computed properties:
- ΔE_f (raw): -4.33 eV/f.u.
- Magnetization: 5.00 μB/f.u.

Cell: 6.207 6.207 6.207 Å, 90.00 90.00 90.00°
Positions (direct):
Np 0.000 0.000 0.000
I 0.000 0.500 0.000
I 0.000 0.000 0.500
I 0.500 0.000 0.000
Rb 0.500 0.500 0.500

# 7
Compound: Rb3Np2I9
Source: Alexandria via LeMat-Bulk
Functional: GGA-PBE
Structure: relaxed

Computed properties:
- ΔE_f (raw): -15.71 eV/f.u.
- Magnetization: 8.00 μB/f.u.

Cell: 11.174 11.174 11.174 Å, 83.95 83.95 83.95°
Positions (direct):
Rb 0.432 0.750 0.068
Rb 0.250 0.932 0.568
Rb 0.932 0.568 0.250
Rb 0.068 0.432 0.750
Rb 0.750 0.068 0.432
Rb 0.568 0.250 0.932
Np 0.153 0.153 0.153
Np 0.653 0.653 0.653
Np 0.847 0.847 0.847
Np 0.347 0.347 0.347
I 0.727 0.931 0.085
I 0.069 0.915 0.273
I 0.250 0.410 0.090
I 0.569 0.773 0.415
I 0.590 0.910 0.750
I 0.910 0.750 0.590
I 0.227 0.585 0.431
I 0.585 0.431 0.227
I 0.915 0.273 0.069
I 0.085 0.727 0.931
I 0.415 0.569 0.773
I 0.410 0.090 0.250
I 0.773 0.415 0.569
I 0.090 0.250 0.410
I 0.431 0.227 0.585
I 0.750 0.590 0.910
I 0.931 0.085 0.727
I 0.273 0.069 0.915

# 8
Compound: Rb3NpI8
Source: Alexandria via LeMat-Bulk
Functional: GGA-PBE
Structure: relaxed

Computed properties:
- ΔE_f (raw): -11.59 eV/f.u.
- Magnetization: 2.53 μB/f.u.

Cell: 8.417 8.417 10.244 Å, 114.26 114.26 90.00°
Positions (direct):
Rb 0.750 0.250 0.500
Rb 0.500 0.500 0.000
Rb 0.250 0.750 0.500
Np 0.000 0.000 0.000
I 0.332 0.332 0.223
I 0.332 0.891 0.223
I 0.109 0.668 0.777
I 0.109 0.109 0.777
I 0.891 0.891 0.223
I 0.891 0.332 0.223
I 0.668 0.109 0.777
I 0.668 0.668 0.777

# 9
Compound: Rb3NpI6
Source: Alexandria via LeMat-Bulk
Functional: GGA-PBE
Structure: relaxed

Computed properties:
- ΔE_f (raw): -12.57 eV/f.u.
- Magnetization: 4.00 μB/f.u.
- Relative energy among the computed polymorphs: 0.00 eV per formula unit

Cell: 8.705 9.397 12.647 Å, 90.00 87.87 90.00°
Positions (direct):
Rb 0.534 0.916 0.758
Rb 0.500 0.500 0.000
Rb 0.466 0.084 0.242
Rb 0.034 0.584 0.258
Rb 0.000 0.000 0.500
Rb 0.966 0.416 0.742
Np 0.500 0.500 0.500
Np 0.000 0.000 0.000
I 0.710 0.174 0.942
I 0.663 0.223 0.577
I 0.631 0.447 0.270
I 0.369 0.553 0.730
I 0.337 0.777 0.423
I 0.290 0.826 0.058
I 0.210 0.326 0.442
I 0.163 0.277 0.077
I 0.131 0.053 0.770
I 0.869 0.947 0.230
I 0.837 0.723 0.923
I 0.790 0.674 0.558

# 10
Compound: Rb2NpS2I4
Source: Alexandria via LeMat-Bulk
Functional: GGA-PBE
Structure: relaxed

Computed properties:
- ΔE_f (raw): -8.83 eV/f.u.
- Magnetization: 1.00 μB/f.u.

Cell: 6.720 7.865 7.865 Å, 64.07 82.19 82.19°
Positions (direct):
Rb 0.215 0.664 0.664
Rb 0.785 0.336 0.336
Np 0.500 0.000 0.000
S 0.237 0.138 0.138
S 0.763 0.862 0.862
I 0.289 0.642 0.155
I 0.711 0.845 0.358
I 0.711 0.358 0.845
I 0.289 0.155 0.642

# 11
Compound: Rb2NpSe2I2
Source: Alexandria via LeMat-Bulk
Functional: GGA-PBE
Structure: relaxed

Computed properties:
- ΔE_f (raw): -8.70 eV/f.u.
- Magnetization: 3.00 μB/f.u.

Cell: 5.519 5.519 10.194 Å, 105.71 105.71 90.00°
Positions (direct):
Rb 0.370 0.370 0.740
Rb 0.630 0.630 0.260
Np 0.000 0.000 0.000
Se 0.000 0.500 0.000
Se 0.500 0.000 0.000
I 0.166 0.166 0.332
I 0.834 0.834 0.668

# 12
Compound: Rb2SrNpI8
Source: Alexandria via LeMat-Bulk
Functional: GGA-PBE
Structure: relaxed

Computed properties:
- ΔE_f (raw): -14.58 eV/f.u.
- Magnetization: 2.94 μB/f.u.

Cell: 8.510 7.744 9.862 Å, 89.98 90.02 92.13°
Positions (direct):
Rb 0.500 0.499 0.749
Rb 0.500 0.501 0.251
Sr 0.000 0.000 0.500
Np 0.000 0.000 0.000
I 0.120 0.769 0.223
I 0.691 0.805 0.000
I 0.880 0.231 0.222
I 0.880 0.231 0.777
I 0.309 0.195 0.000
I 0.120 0.769 0.778
I 0.686 0.766 0.500
I 0.314 0.234 0.500

# 13
Compound: RbNpTl2I6
Source: Alexandria via LeMat-Bulk
Functional: GGA-PBE
Structure: relaxed

Computed properties:
- ΔE_f (raw): -9.10 eV/f.u.
- Magnetization: 4.00 μB/f.u.

Cell: 8.291 9.599 12.272 Å, 90.00 86.23 90.00°
Positions (direct):
Rb 0.500 0.000 0.000
Rb 0.000 0.500 0.500
Np 0.500 0.000 0.500
Np 0.000 0.500 0.000
Tl 0.021 0.925 0.287
Tl 0.521 0.575 0.787
Tl 0.979 0.075 0.713
Tl 0.479 0.425 0.213
I 0.314 0.665 0.040
I 0.814 0.835 0.540
I 0.686 0.335 0.960
I 0.186 0.165 0.460
I 0.347 0.733 0.402
I 0.847 0.767 0.902
I 0.653 0.267 0.598
I 0.153 0.233 0.098
I 0.852 0.592 0.229
I 0.352 0.908 0.729
I 0.148 0.408 0.771
I 0.648 0.092 0.271

# 14
Compound: RbNpVI6
Source: Alexandria via LeMat-Bulk
Functional: GGA-PBE
Structure: relaxed

Computed properties:
- ΔE_f (raw): -7.66 eV/f.u.
- Magnetization: 7.00 μB/f.u.

Cell: 7.613 7.613 16.942 Å, 90.00 90.00 120.00°
Positions (direct):
Rb 0.000 0.000 0.000
Rb 0.000 0.000 0.500
Np 0.333 0.667 0.250
Np 0.667 0.333 0.750
V 0.667 0.333 0.250
V 0.333 0.667 0.750
I 0.652 0.627 0.148
I 0.975 0.348 0.148
I 0.348 0.975 0.648
I 0.025 0.652 0.852
I 0.373 0.348 0.352
I 0.975 0.627 0.352
I 0.627 0.975 0.852
I 0.652 0.025 0.352
I 0.025 0.373 0.648
I 0.373 0.025 0.148
I 0.627 0.652 0.648
I 0.348 0.373 0.852

# 15
Compound: NpRhI
Source: Alexandria via LeMat-Bulk
Functional: GGA-PBE
Structure: relaxed

Computed properties:
- ΔE_f (raw): -0.79 eV/f.u.
- Magnetization: 3.65 μB/f.u.

Cell: 4.048 4.103 11.783 Å, 90.00 90.00 90.00°
Positions (direct):
Np 0.500 0.000 0.655
Np 0.000 0.500 0.345
Rh 0.000 0.000 0.499
Rh 0.500 0.500 0.501
I 0.500 0.500 0.145
I 0.000 0.000 0.855

# 16
Compound: Np4S6I
Source: Alexandria via LeMat-Bulk
Functional: GGA-PBE
Structure: relaxed

Computed properties:
- ΔE_f (raw): -13.02 eV/f.u.
- Magnetization: 15.00 μB/f.u.
- Relative energy among the computed polymorphs: 0.51 eV per formula unit

Cell: 7.411 7.411 7.234 Å, 59.21 59.21 90.00°
Positions (direct):
Np 0.612 0.183 0.205
Np 0.817 0.817 0.795
Np 0.183 0.612 0.205
Np 0.388 0.388 0.795
S 0.515 0.814 0.671
S 0.814 0.515 0.671
S 0.485 0.485 0.329
S 0.000 0.500 0.000
S 0.186 0.186 0.330
S 0.500 0.000 0.000
I 0.000 0.000 0.000

# 17
Compound: NpS2I2
Source: Alexandria via LeMat-Bulk
Functional: GGA-PBE
Structure: relaxed

Computed properties:
- ΔE_f (raw): -4.01 eV/f.u.
- Magnetization: 3.00 μB/f.u.

Cell: 7.768 7.495 8.200 Å, 80.39 71.20 58.79°
Positions (direct):
Np 0.145 0.711 0.000
Np 0.855 0.289 0.000
S 0.897 0.000 0.262
S 0.728 0.000 0.115
S 0.272 0.000 0.885
S 0.103 0.000 0.738
I 0.569 0.384 0.765
I 0.431 0.616 0.235
I 0.953 0.616 0.765
I 0.047 0.384 0.235

# 18
Compound: NpS2I4
Source: Alexandria via LeMat-Bulk
Functional: GGA-PBE
Structure: relaxed

Computed properties:
- ΔE_f (raw): -2.69 eV/f.u.
- Magnetization: 2.99 μB/f.u.

Cell: 4.226 8.261 9.638 Å, 91.98 99.69 105.61°
Positions (direct):
Np 0.000 0.000 0.000
S 0.270 0.434 0.485
S 0.730 0.566 0.515
I 0.058 0.899 0.287
I 0.942 0.101 0.713
I 0.326 0.731 0.915
I 0.674 0.269 0.085

# 19
Compound: Np4S6I
Source: Alexandria via LeMat-Bulk
Functional: GGA-PBE
Structure: relaxed

Computed properties:
- ΔE_f (raw): -13.52 eV/f.u.
- Magnetization: 14.98 μB/f.u.
- Relative energy among the computed polymorphs: 0.00 eV per formula unit

Cell: 3.903 8.445 8.445 Å, 120.00 90.00 90.00°
Positions (direct):
Np 0.500 0.815 0.631
Np 0.500 0.369 0.185
Np 0.500 0.815 0.185
Np 0.000 0.333 0.667
S 0.000 0.540 0.081
S 0.500 0.608 0.804
S 0.000 0.540 0.460
S 0.000 0.919 0.460
S 0.500 0.196 0.804
S 0.500 0.196 0.392
I 0.000 0.000 0.000

# 20
Compound: Np6S12I
Source: Alexandria via LeMat-Bulk
Functional: GGA-PBE
Structure: relaxed

Computed properties:
- ΔE_f (raw): -21.75 eV/f.u.
- Magnetization: 17.00 μB/f.u.

Cell: 7.942 7.942 7.942 Å, 103.69 103.69 103.69°
Positions (direct):
Np 0.659 0.243 0.243
Np 0.243 0.243 0.659
Np 0.243 0.659 0.243
Np 0.757 0.757 0.341
Np 0.341 0.757 0.757
Np 0.757 0.341 0.757
S 0.869 0.131 0.500
S 0.808 0.544 0.544
S 0.544 0.544 0.808
S 0.456 0.192 0.456
S 0.456 0.456 0.192
S 0.192 0.456 0.456
S 0.131 0.500 0.869
S 0.500 0.869 0.131
S 0.131 0.869 0.500
S 0.869 0.500 0.131
S 0.500 0.131 0.869
S 0.544 0.808 0.544
I 0.000 0.000 0.000

no.,D(E_F) (states/eV/cell)
1,12.61
2,13.36
3,18.21
4,5.10
5,4.72
6,16.27
7,20.59
8,17.81
9,7.50
10,4.21
11,14.12
12,4.92
13,8.74
14,11.07
15,15.84
16,31.73
17,17.99
18,10.66
19,33.48
20,50.72